Entry from OQMD: a relaxed LuAsOs2 crystal (PBE).

Summary:
symmetry: F-43m (216)
DFT total energy: -7.5742 eV per atom
spin magnetization: 0.01 Bohr magnetons per cell

Cell lengths 4.5788, 4.5788, 4.5788 Å; angles 60.00, 60.00, 60.00 degrees
Element x y z (fractional)
Os1 0.0000 0.0000 0.0000
Lu1 0.2500 0.2500 0.2500
As1 0.5000 0.5000 0.5000
Os2 0.7500 0.7500 0.7500